VASP calculation (GGA-PBE) on an optimized crystal structure of MnInRe.

As for the density of states at the Fermi level: 2.360 states/eV/cell. The symmetry is I4mm, No. 107. The energy relative to the lowest polymorph listed for this composition is 0.000 eV per atom. The value obtained for the raw total energy is -7.85 eV per atom.

a = 5.936 Å, b = 5.936 Å, c = 5.936 Å
α = 151.72°, β = 151.72°, γ = 40.42°
Each line ends with the local moment (μB).
Positions (direct):
1 Re 0.691 0.691 0.000  -0.10
2 Mn 0.315 0.315 0.000  0.47
3 In 0.994 0.994 0.000  0.00